[1]
ErTmCo2B2N2 | the Open Quantum Materials Database | PBE | relaxed; VASP energy = -7.79 eV per atom; crystal system = tetragonal
1.0
3.4403 0.0000 0.0000
0.0000 3.4403 0.0000
0.0000 0.0000 7.4158
B N Co Tm Er
2 2 2 1 1
Direct
0.5000 0.5000 0.6522
0.0000 0.0000 0.3480
0.5000 0.5000 0.8563
0.0000 0.0000 0.1444
0.5000 0.0000 0.4998
0.0000 0.5000 0.4998
0.5000 0.5000 0.1664
0.0000 0.0000 0.8332

***

[2]
BaZrFe2 | the Open Quantum Materials Database | PBE | relaxed; VASP energy = -5.88 eV per atom; crystal system = cubic
1.0
1.3078 -3.9329 -2.4503
-3.2997 -3.2913 -1.2088
-1.3122 -0.5153 -4.6037
Fe Zr Ba
2 1 1
Direct
0.2500 0.2500 0.2500
0.0000 0.0000 0.0000
0.5000 0.5000 0.5000
0.7500 0.7500 0.7500

***

[3]
DyNb2 | the Open Quantum Materials Database | PBE | relaxed; ΔE_f = 204.3 meV per atom; crystal system = cubic
1.0
5.5864 -1.1961 -0.4226
2.8714 -1.9216 4.5693
1.7861 -5.4400 0.1808
Dy Nb
2 4
Direct
0.0000 0.0000 0.0000
0.2500 0.2500 0.2500
0.1250 0.6250 0.6250
0.6250 0.6250 0.6250
0.6250 0.1250 0.6250
0.6250 0.6250 0.1250

***

[4]
YNi2Ag | the Open Quantum Materials Database | PBE | relaxed; ΔE_f = -26.7 meV per atom; crystal system = cubic
1.0
2.2876 1.3208 3.7357
-2.2876 1.3208 3.7357
0.0000 -2.6415 3.7357
Y Ag Ni
1 1 2
Direct
0.0000 0.0000 0.0000
0.2500 0.2500 0.2500
0.7500 0.7500 0.7500
0.5000 0.5000 0.5000

***

[5]
PuThAl4 | the Open Quantum Materials Database | PBE | relaxed; VASP energy = -6.53 eV per atom; crystal system = cubic
1.0
-4.1158 -0.5281 3.7558
-5.0451 2.1831 -1.0515
-4.3413 -3.3693 -1.0610
Al Th Pu
4 1 1
Direct
0.3767 0.8744 0.8744
0.8744 0.3767 0.8744
0.8744 0.8744 0.8744
0.8744 0.8744 0.3767
0.2500 0.2500 0.2500
0.5000 0.5000 0.5000

***

[6]
Sr2NbIrN2O4 | the Open Quantum Materials Database | PBE | relaxed; energy above the most stable polymorph in this dataset = 0.0124 eV per atom; crystal system = triclinic
1.0
5.6623 0.0000 0.0000
0.0001 5.6714 0.0000
0.0370 0.0148 7.9597
O Nb N Sr Ir
8 2 4 4 2
Direct
0.9877 0.9584 0.7518
0.2300 0.7327 0.0212
0.2616 0.2259 0.9755
0.7154 0.7881 0.4743
0.4928 0.5409 0.7443
0.0038 0.0440 0.2508
0.7782 0.2836 0.5245
0.2709 0.2335 0.5210
0.5205 0.4979 0.0027
0.0095 0.9848 0.5012
0.7459 0.7593 0.0172
0.7657 0.2537 0.9888
0.2310 0.7345 0.4871
0.5026 0.4716 0.2556
0.4799 0.9962 0.2422
0.0235 0.4931 0.7536
0.5063 0.0024 0.7436
0.9987 0.4941 0.2535
0.9807 0.9977 0.0030
0.4955 0.5076 0.4881

***

[7]
ErNbPb2O6 | the Open Quantum Materials Database | PBE | relaxed; VASP energy = -7.43 eV per atom; crystal system = tetragonal
1.0
3.8944 -0.4506 4.3978
-3.2985 -4.0622 2.7070
1.6747 -0.7121 -5.6034
Pb Er O Nb
2 1 6 1
Direct
0.2500 0.7500 0.5000
0.7500 0.2500 0.5000
0.0000 0.0000 0.0000
0.7384 0.7384 0.0000
0.2616 0.2616 0.0000
0.2013 0.3246 0.5260
0.7987 0.6754 0.4740
0.6754 0.2013 0.8767
0.3246 0.7987 0.1233
0.5000 0.5000 0.0000

***

[8]
NbHgOs | the Open Quantum Materials Database | PBE | relaxed; ΔE_f = 1330.2 meV per atom; energy above the most stable polymorph in this dataset = 0.5046 eV per atom; crystal system = cubic
1.0
2.1714 2.4758 2.9480
-0.8800 4.3184 0.3347
-2.1084 1.5564 3.5591
Hg Nb Os
1 1 1
Direct
0.0000 0.0000 0.0000
0.2500 0.2500 0.2500
0.7500 0.7500 0.7500

***

[9]
NaSc2TaO6 | the Open Quantum Materials Database | PBE | relaxed; VASP energy = -8.58 eV per atom; crystal system = monoclinic
1.0
5.3103 0.0000 0.0000
0.0000 5.4487 0.0000
-5.2391 0.0000 8.4072
Sc O Ta Na
4 12 2 2
Direct
0.2006 0.9871 0.2042
0.2006 0.5129 0.7042
0.7994 0.4871 0.2958
0.7994 0.0129 0.7958
0.8150 0.7609 0.1546
0.4781 0.8088 0.8197
0.1678 0.8345 0.9904
0.5219 0.3088 0.6803
0.1678 0.6655 0.4904
0.5219 0.1912 0.1803
0.4781 0.6912 0.3197
0.1850 0.2391 0.8454
0.8150 0.7391 0.6546
0.8322 0.3345 0.5096
0.8322 0.1655 0.0096
0.1850 0.2609 0.3454
0.5000 0.0000 0.0000
0.5000 0.5000 0.5000
0.0000 0.0000 0.5000
0.0000 0.5000 0.0000

***

[10]
Ag10Te4Br3 | the Open Quantum Materials Database | PBE | relaxed; energy above the most stable polymorph in this dataset = 0.0000 eV per atom; crystal system = orthorhombic
1.0
7.7355 -7.8810 0.0000
7.7355 7.8810 0.0000
0.0000 0.0000 13.7976
Ag Te Br
40 16 12
Direct
0.1711 0.6358 0.8991
0.8785 0.9353 0.2500
0.6004 0.6841 0.3550
0.6004 0.6841 0.1450
0.3159 0.3996 0.3550
0.8289 0.3642 0.1009
0.9825 0.8205 0.4264
0.3642 0.8289 0.6009
0.0175 0.1795 0.5736
0.8205 0.9825 0.9264
0.0647 0.1215 0.2500
0.9825 0.8205 0.0736
0.1215 0.0647 0.7500
0.8205 0.9825 0.5736
0.6300 0.1538 0.8681
0.8289 0.3642 0.3991
0.3996 0.3159 0.8550
0.0175 0.1795 0.9264
0.6358 0.1711 0.1009
0.6841 0.6004 0.6450
0.3642 0.8289 0.8991
0.3996 0.3159 0.6450
0.8462 0.3700 0.8681
0.8462 0.3700 0.6319
0.3700 0.8462 0.1319
0.1538 0.6300 0.3681
0.1795 0.0175 0.4264
0.1429 0.8571 0.2500
0.3746 0.6254 0.2500
0.6358 0.1711 0.3991
0.6300 0.1538 0.6319
0.3159 0.3996 0.1450
0.1538 0.6300 0.1319
0.6254 0.3746 0.7500
0.6841 0.6004 0.8550
0.3700 0.8462 0.3681
0.8571 0.1429 0.7500
0.9353 0.8785 0.7500
0.1711 0.6358 0.6009
0.1795 0.0175 0.0736
0.3135 0.0493 0.2500
0.2957 0.5184 0.7500
0.0493 0.3135 0.7500
0.1149 0.8851 0.5917
0.6161 0.3839 0.5454
0.1149 0.8851 0.9083
0.8851 0.1149 0.4083
0.3839 0.6161 0.4546
0.6865 0.9507 0.7500
0.5184 0.2957 0.2500
0.6161 0.3839 0.9546
0.8851 0.1149 0.0917
0.3839 0.6161 0.0454
0.7043 0.4816 0.2500
0.4816 0.7043 0.7500
0.9507 0.6865 0.2500
0.0000 0.5000 0.5000
0.7516 0.7516 0.0000
0.5000 0.0000 0.5000
0.2484 0.2484 0.5000
0.2484 0.2484 0.0000
0.5000 0.0000 0.0000
0.6338 0.9024 0.2500
0.9024 0.6338 0.7500
0.0976 0.3662 0.2500
0.3662 0.0976 0.7500
0.7516 0.7516 0.5000
0.0000 0.5000 0.0000

***

[11]
NaHgAsO | the Open Quantum Materials Database | PBE | relaxed; energy above the most stable polymorph in this dataset = 0.0000 eV per atom; crystal system = orthorhombic
1.0
3.3862 0.0000 0.0000
0.0000 9.1441 0.0000
0.0000 0.0000 5.1097
As Na O Hg
2 2 2 2
Direct
0.0000 0.0671 0.9397
0.0000 0.9329 0.4397
0.5000 0.6160 0.4400
0.5000 0.3840 0.9400
0.5000 0.6250 0.9349
0.5000 0.3750 0.4349
0.0000 0.2185 0.4394
0.0000 0.7815 0.9394

***

[12]
ZnGaFeCu | the Open Quantum Materials Database | PBE | relaxed; energy above the most stable polymorph in this dataset = 0.0000 eV per atom; crystal system = cubic
1.0
0.0000 2.9196 2.9196
2.9196 0.0000 2.9196
2.9196 2.9196 0.0000
Fe Zn Ga Cu
1 1 1 1
Direct
0.5000 0.5000 0.5000
0.7500 0.7500 0.7500
0.2500 0.2500 0.2500
0.0000 0.0000 0.0000

***

[13]
TbHo2Cu4Si4 | the Open Quantum Materials Database | PBE | relaxed; VASP energy = -5.22 eV per atom; crystal system = orthorhombic
1.0
-2.0608 3.2687 6.8226
2.0608 -3.2687 6.8226
2.0608 3.2687 -6.8226
Tb Si Cu Ho
1 4 4 2
Direct
0.0000 0.0000 0.0000
0.6846 0.5000 0.1846
0.3154 0.5000 0.8154
0.7835 0.7835 0.0000
0.2165 0.2165 0.0000
0.3604 0.6692 0.6912
0.9779 0.6692 0.3088
0.6396 0.3308 0.3088
0.0221 0.3308 0.6912
0.3709 0.8709 0.5000
0.6291 0.1291 0.5000

***

[14]
HfSnAsO | the Open Quantum Materials Database | PBE | relaxed; energy above the most stable polymorph in this dataset = 0.0079 eV per atom; crystal system = orthorhombic
1.0
-1.7931 -1.6060 3.0720
6.8086 -1.5566 3.1604
-0.0549 4.9663 2.5643
As Hf O Sn
2 2 2 2
Direct
0.0000 0.1984 0.9333
0.0000 0.8016 0.4333
0.0000 0.1654 0.4336
0.0000 0.8346 0.9336
0.5000 0.8752 0.9348
0.5000 0.1248 0.4348
0.5000 0.4383 0.9522
0.5000 0.5617 0.4522

***

[15]
YTmS2 | the Open Quantum Materials Database | PBE | relaxed; energy above the most stable polymorph in this dataset = 0.0000 eV per atom; crystal system = monoclinic
1.0
3.3502 -1.9407 0.0000
3.3502 1.9407 0.0000
-2.2465 0.0000 6.3261
S Tm Y
2 1 1
Direct
0.7475 0.7475 0.2424
0.2525 0.2525 0.7576
0.0000 0.0000 0.0000
0.5000 0.5000 0.5000

***

[16]
GaHgPt2 | the Open Quantum Materials Database | PBE | relaxed; VASP energy = -3.87 eV per atom; crystal system = cubic
1.0
0.0000 3.2411 3.2411
3.2411 0.0000 3.2411
3.2411 3.2411 0.0000
Ga Pt Hg
1 2 1
Direct
0.5000 0.5000 0.5000
0.0000 0.0000 0.0000
0.7500 0.7500 0.7500
0.2500 0.2500 0.2500

***

[17]
La2Sm2O5 | the Open Quantum Materials Database | PBE | relaxed; VASP energy = -7.27 eV per atom; crystal system = tetragonal
1.0
7.3317 0.0000 0.0000
0.0000 4.6169 0.0000
0.0000 0.0000 4.6169
Sm O La
2 5 2
Direct
0.0000 0.0000 0.0000
0.5000 0.0000 0.0000
0.7771 0.0000 0.5000
0.2229 0.5000 0.0000
0.7771 0.5000 0.0000
0.2229 0.0000 0.5000
0.5000 0.5000 0.5000
0.2095 0.5000 0.5000
0.7905 0.5000 0.5000

***

[18]
Hf2ZrNi3As4Pd | the Open Quantum Materials Database | PBE | relaxed; energy above the most stable polymorph in this dataset = 0.0055 eV per atom; crystal system = monoclinic
1.0
6.5249 0.0000 0.0000
0.0000 3.8342 0.0000
-0.0038 0.0000 7.3993
Zr Hf Ni As Pd
1 2 3 4 1
Direct
0.4643 0.0000 0.3134
0.5285 0.5000 0.6935
0.9778 0.0000 0.1846
0.6258 0.5000 0.0573
0.1553 0.5000 0.4413
0.3776 0.0000 0.9402
0.2417 0.0000 0.6342
0.7593 0.5000 0.3649
0.2521 0.5000 0.1044
0.7563 0.0000 0.8932
0.8592 0.0000 0.5701

***

[19]
TmTlCu | the Open Quantum Materials Database | PBE | relaxed; VASP energy = -3.20 eV per atom; crystal system = cubic
1.0
-2.7138 2.9176 2.6443
-3.1928 2.8650 -2.1135
-4.6782 -0.8677 0.4806
Tl Tm Cu
1 1 1
Direct
0.7500 0.7500 0.7500
0.0000 0.0000 0.0000
0.2500 0.2500 0.2500

***

[20]
BaTcAsO | the Open Quantum Materials Database | PBE | relaxed; energy above the most stable polymorph in this dataset = 0.0364 eV per atom; crystal system = orthorhombic
1.0
-0.7858 -1.6130 -3.4851
-3.4120 -3.0751 2.1926
-5.7947 5.5349 -1.2551
As Ba O Tc
2 2 2 2
Direct
0.0000 0.2981 0.2609
0.0000 0.7019 0.7609
0.5000 0.1982 0.6026
0.5000 0.8018 0.1026
0.5000 0.7134 0.4423
0.5000 0.2866 0.9423
0.0000 0.6869 0.4482
0.0000 0.3131 0.9482

***

[21]
Te2Os | the Open Quantum Materials Database | PBE | relaxed; VASP energy = -3.70 eV per atom; crystal system = cubic
1.0
0.0000 4.2371 4.2371
4.2371 0.0000 4.2371
4.2371 4.2371 0.0000
Te Os
4 2
Direct
0.1250 0.6250 0.6250
0.6250 0.6250 0.6250
0.6250 0.6250 0.1250
0.6250 0.1250 0.6250
0.2500 0.2500 0.2500
0.0000 0.0000 0.0000